The following is a PBE calculation of a relaxed SiH2O crystal, from Alexandria via LeMat-Bulk.

Cell: 2.887 2.887 7.110 Å, 78.29 78.29 90.00°
Fractional positions:
H1 0.875 0.125 0.250
H2 0.875 0.625 0.250
H3 0.375 0.125 0.750
H4 0.875 0.125 0.750
Si1 0.750 0.250 0.500
Si2 0.000 0.000 0.000
O1 0.250 0.750 0.500
O2 0.500 0.500 0.000

Output
N(E_F), states/eV/cell: 0.348
Spin magnetization, μB per atom: 0.000
Excess energy over the best structure of this formula in the dataset, kcal/mol of atoms: 20.78

=====

The following is a PBE calculation of a relaxed SiHO crystal, from Alexandria via LeMat-Bulk.

Cell: 2.808 7.918 5.264 Å, 110.77 91.57 121.02°
Fractional positions:
Si1 0.009 0.359 0.738
Si2 0.574 0.736 0.062
H1 0.806 0.213 0.886
H2 0.777 0.881 0.914
O1 0.158 0.787 0.253
O2 0.425 0.307 0.547

Output
N(E_F), states/eV/cell: 0.000
Spin magnetization, μB per atom: 0.000
Excess energy over the best structure of this formula in the dataset, kcal/mol of atoms: 0.00

=====

The following is a PBE calculation of a relaxed Si2HO crystal, from Alexandria via LeMat-Bulk.

Cell: 4.554 4.554 5.256 Å, 64.32 64.32 90.00°
Fractional positions:
Si1 0.591 0.125 0.250
Si2 0.159 0.625 0.250
Si3 0.875 0.841 0.750
Si4 0.375 0.409 0.750
H1 0.500 0.500 0.000
H2 0.250 0.750 0.500
O1 0.750 0.250 0.500
O2 0.000 0.000 0.000

Output
N(E_F), states/eV/cell: 4.592
Spin magnetization, μB per atom: 0.000
Excess energy over the best structure of this formula in the dataset, kcal/mol of atoms: 0.00

=====

The following is a PBE calculation of a relaxed Si2H3O6 crystal, from Alexandria via LeMat-Bulk.

Cell: 4.773 4.815 9.280 Å, 73.41 75.10 60.29°
Each line ends with the local moment (μB).
Fractional positions:
Si1 0.330 0.839 0.999  -0.01
Si2 0.670 0.161 0.001  -0.01
Si3 0.168 0.661 0.501  -0.01
Si4 0.832 0.339 0.499  -0.01
O1 0.585 0.840 0.113  0.13
O2 0.538 0.660 0.387  0.13
O3 0.088 0.960 0.608  0.07
O4 0.154 0.427 0.387  0.25
O5 0.846 0.573 0.613  0.25
O6 0.415 0.160 0.887  0.13
O7 0.345 0.460 0.108  0.07
O8 0.912 0.040 0.392  0.07
O9 0.462 0.340 0.613  0.13
O10 0.968 0.073 0.113  0.25
O11 0.655 0.540 0.892  0.07
O12 0.032 0.927 0.887  0.25
H1 0.430 0.250 0.750  0.00
H2 0.923 0.071 0.276  0.00
H3 0.570 0.750 0.250  0.00
H4 0.270 0.429 0.224  0.00
H5 0.730 0.571 0.776  0.00
H6 0.077 0.929 0.724  0.00

Output
N(E_F), states/eV/cell: 10.689
Spin magnetization, μB per atom: 0.094
Energy, eV/atom: -6.3114

=====

The following is a PBE calculation of a relaxed Si3HO crystal, from Alexandria via LeMat-Bulk.

Cell: 3.902 3.902 3.902 Å, 90.00 90.00 90.00°
Fractional positions:
Si1 0.000 0.500 0.000
Si2 0.000 0.000 0.500
Si3 0.500 0.000 0.000
H1 0.000 0.000 0.000
O1 0.500 0.500 0.500

Output
N(E_F), states/eV/cell: 2.891
Spin magnetization, μB per atom: 0.000
Excess energy over the best structure of this formula in the dataset, kcal/mol of atoms: 0.00

=====

The following is a PBE calculation of a relaxed Si2H2O5 crystal, from Alexandria via LeMat-Bulk.

Cell: 8.845 8.845 5.126 Å, 80.84 80.84 36.96°
Fractional positions:
H1 0.940 0.895 0.747
H2 0.129 0.046 0.722
H3 0.895 0.940 0.247
H4 0.046 0.129 0.222
O1 0.308 0.411 0.590
O2 0.027 0.786 0.909
O3 0.977 0.212 0.045
O4 0.411 0.308 0.090
O5 0.501 0.000 0.467
O6 0.212 0.977 0.545
O7 0.786 0.027 0.409
O8 0.588 0.695 0.204
O9 0.000 0.501 0.967
O10 0.695 0.588 0.704
Si1 0.816 0.500 0.985
Si2 0.502 0.185 0.388
Si3 0.500 0.816 0.485
Si4 0.185 0.502 0.888

Output
N(E_F), states/eV/cell: 0.000
Spin magnetization, μB per atom: 0.000
Excess energy over the best structure of this formula in the dataset, kcal/mol of atoms: 0.34